1.
Here is crystalline La2PrNd3As6 at its relaxed geometry from Alexandria via LeMat-Bulk. Energies are from PBE-GGA.

```
12
Lattice="-1.985 3.739 -0.838 -1.402 -2.564 -8.117 -6.642 -4.897 4.989" Properties=species:S:1:pos:R:3 pbc="T T T"
As -4.343 -0.635 -3.656
Nd -1.693 0.588 -4.477
As -6.374 -4.374 -4.420
Nd -3.712 -3.145 -5.243
As -3.655 0.652 0.454
As -1.066 -1.927 -6.072
Nd -6.317 -0.577 1.277
La -7.024 -1.863 -2.787
As -5.685 -3.087 -0.310
As -8.963 -1.795 2.107
La -3.005 -1.859 -1.178
Pr -0.992 1.869 -0.419
```

Computed properties:
SG	C2/m, No. 12
ΔH_f (0 K)	-1530	meV per atom
VASP energy	-0.230	hartree per atom

=====

2.
Here is crystalline La2PrNdAs4 at its relaxed geometry from Alexandria via LeMat-Bulk. Energies are from PBE-GGA.

```
8
Lattice="4.335 0.000 0.000 0.000 7.503 -0.150 0.000 2.638 7.024" Properties=species:S:1:pos:R:3 pbc="T T T"
Nd 0.000 5.071 3.437
As 0.000 7.586 5.155
Pr 2.168 6.390 6.948
As 4.335 2.556 1.718
As 2.168 6.266 1.658
As 2.168 3.875 5.215
La 2.168 1.319 3.512
La 0.000 2.638 7.024
```

Computed properties:
SG	P2/m, No. 10
ΔH_f (0 K)	-1541	meV per atom
VASP energy	-0.231	hartree per atom

=====

3.
Here is crystalline La2NdAs3Pt4 at its relaxed geometry from Alexandria via LeMat-Bulk. Energies are from PBE-GGA.

```
10
Lattice="-4.128 0.329 1.427 -0.455 -4.346 -0.313 3.629 -1.156 10.767" Properties=species:S:1:pos:R:3 pbc="T T T"
La 2.625 -3.081 8.308
Nd -0.477 -2.586 5.940
As 0.215 -2.314 1.157
Pt 0.344 -0.602 7.858
Pt -2.292 -2.008 0.557
As 1.122 -0.850 10.167
Pt 0.993 -2.562 3.466
La -1.288 -0.082 3.016
Pt 0.000 0.000 0.000
As 1.814 -0.578 5.384
```

Computed properties:
SG	P-4m2, No. 115
ΔH_f (0 K)	-971	meV per atom
VASP energy	-0.229	hartree per atom